This record from OQMD describes crystalline Cu2Ag3 at its relaxed geometry. The functional is PBE.

Formation enthalpy at 0 K in eV/atom: 0.09
Excess energy over the best structure of this formula in the dataset in meV/atom: 60.5
Space group: No. 8
Calculated volume in Å³/f.u.: 77.9

Structure (POSCAR):
```
Cu2Ag3
1.0
7.199 -1.949 0.000
7.199 1.949 0.000
-1.125 0.000 5.552
Ag Cu
6 4
Cartesian
4.880 0.000 3.886
8.346 0.000 1.679
2.833 0.000 0.566
7.779 0.000 4.450
5.522 0.000 1.073
13.820 0.000 2.785
2.281 0.000 3.349
13.227 0.000 5.535
10.503 0.000 4.934
11.007 0.000 2.277
```